An optimized crystal structure of Pm2PrSm3Te6, computed with PBE-GGA.

Calculated values
The value obtained for the total DFT energy (no corrections) is -5.342 eV/atom. The uncorrected formation energy comes out at -1622 kJ/mol of formula units. The space group is C2/m.

Cell and atoms, written as POSCAR:
```
Pm2PrSm3Te6
1.0
-1.0428 -1.0703 4.1855
4.5725 -7.6843 -0.8258
7.2260 6.7807 1.1748
Pm Pr Sm Te
2 1 3 6
direct
0.8339 0.6676 0.6679
0.1661 0.3324 0.3321
0.5000 0.0000 0.0000
0.5000 0.5000 0.0000
0.8350 0.1670 0.6699
0.1650 0.8330 0.3301
0.3310 0.9168 0.6619
0.6666 0.5844 0.3331
0.6690 0.0832 0.3381
0.0000 0.2548 0.0001
0.0000 0.7452 0.9999
0.3334 0.4156 0.6669
```